! BaSrSe2 (PBE, optimized geometry); values from VASP
! **Symmetry**: R3m
! **Polymorph energy (0 for the lowest one)**: 0.066 eV/atom
! **Raw formation energy**: -1985.0 meV/atom
! **Total DFT energy (no corrections)**: -4.628 eV per atom
&SYSTEM
  ibrav = 0, nat = 4, ntyp = 3
/
ATOMIC_SPECIES
Ba 137.33 Ba.upf
Sr 87.62 Sr.upf
Se 78.96 Se.upf
CELL_PARAMETERS angstrom
2.249 1.298 7.809
-2.249 1.298 7.809
0.000 -2.597 7.809
ATOMIC_POSITIONS angstrom
Ba 0.000 0.000 0.000
Sr 0.000 0.000 3.965
Se 0.000 0.000 13.580
Se 0.000 0.000 17.726